(1)
This record from Alexandria describes a relaxed structure of VCr2S4. The functional is PBE.

Excess energy over the best structure of this formula in the dataset ... 0 meV per atom

Unit cell a=3.3471 b=5.8412 c=6.4009 alpha=114.68 beta=74.84 gamma=90.00
Last column: nearest neighbours and their distance in Å.
Sites, in units of the cell vectors:
1 V 0.2584 0.6911 0.4831  6 S 2.33-2.54
2 Cr 0.7383 0.3129 0.5233  6 S 2.29-2.51
3 Cr 0.0052 0.9971 0.9895  6 S 2.38-2.46
4 S 0.3624 0.9839 0.2753  4 Cr 2.46-2.51, 1 V 2.54
5 S 0.6379 0.0235 0.7242  3 Cr 2.39-2.49, 2 V 2.51
6 S 0.1095 0.5468 0.7809  3 Cr 2.31-2.38, 1 V 2.33
7 S 0.8882 0.4447 0.2236  2 Cr 2.29-2.38, 2 V 2.33

***

(2)
This record from Alexandria describes a relaxed structure of V4Cr2S9. The functional is PBE.

Unit cell a=5.9876 b=5.8496 c=16.3849 alpha=89.99 beta=90.66 gamma=60.75
Last column: nearest neighbours and their distance in Å.
Sites, in units of the cell vectors:
1 V 0.3587 0.3134 0.9970  6 S 2.34-2.48
2 V 0.3588 0.3276 0.4970  6 S 2.34-2.48
3 V 0.6413 0.6866 0.0030  6 S 2.34-2.48
4 V 0.3230 0.3374 0.1715  6 S 2.38-2.43
5 V 0.6412 0.6724 0.5030  6 S 2.34-2.48
6 V 0.6775 0.6601 0.3285  6 S 2.38-2.43
7 V 0.3225 0.3399 0.6715  6 S 2.38-2.43
8 V 0.6770 0.6626 0.8285  6 S 2.38-2.43
9 Cr 0.9927 0.0084 0.3429  6 S 2.35-2.45
10 Cr 0.0076 0.0008 0.1571  6 S 2.35-2.45
11 Cr 0.0073 0.9916 0.6571  6 S 2.35-2.45
12 Cr 0.9924 0.9992 0.8429  6 S 2.35-2.45
13 S 0.9998 0.3227 0.7500  2 V 2.38, 2 Cr 2.45
14 S 0.3159 0.6804 0.7534  2 V 2.39-2.43, 2 Cr 2.42-2.43
15 S 0.6838 0.9965 0.7467  2 V 2.39-2.43, 2 Cr 2.42-2.43
16 S 0.0002 0.6773 0.2500  2 V 2.38, 2 Cr 2.45
17 S 0.6841 0.3196 0.2466  2 V 2.39-2.43, 2 Cr 2.42-2.43
18 S 0.3162 0.0035 0.2533  2 V 2.39-2.43, 2 Cr 2.42-2.43
19 S 0.6604 0.9964 0.4146  3 V 2.34-2.43, 1 Cr 2.35
20 S 0.9881 0.3450 0.4228  1 Cr 2.35, 3 V 2.41-2.48
21 S 0.3453 0.6584 0.4106  3 V 2.35-2.42, 1 Cr 2.37
22 S 0.6550 0.0036 0.0894  3 V 2.35-2.42, 1 Cr 2.37
23 S 0.3397 0.6568 0.0853  3 V 2.34-2.43, 1 Cr 2.35
24 S 0.0120 0.3331 0.0773  1 Cr 2.35, 3 V 2.41-2.48
25 S 0.3396 0.0036 0.5854  3 V 2.34-2.43, 1 Cr 2.35
26 S 0.0119 0.6550 0.5772  1 Cr 2.35, 3 V 2.41-2.48
27 S 0.6547 0.3416 0.5894  3 V 2.35-2.42, 1 Cr 2.37
28 S 0.3450 0.9964 0.9106  3 V 2.35-2.42, 1 Cr 2.37
29 S 0.6603 0.3432 0.9147  3 V 2.34-2.43, 1 Cr 2.35
30 S 0.9880 0.6669 0.9227  1 Cr 2.35, 3 V 2.41-2.48

***

Number 1: E_tot -7.196 eV per atom, ΔE_f (raw) -786 meV/atom. Number 2: E_tot -6.997 eV per atom, ΔE_f (raw) -806 meV/atom.